[1]
## KSe2 (meta-GGA SCAN)

Data for a crystal of KSe2 relaxed with PBEsol.

## Properties
Raw total energy ... -16.276 eV/atom
Density of states at the Fermi level ... 1.09 states/eV per atom
Excess energy over the best structure of this formula in the dataset ... 653 meV/atom
ΔE_f (raw) ... -0.343 eV per formula unit
Crystal system ... hexagonal
Density ... 4.419 g/cm³

```
KSe2
1.0
-1.521 -2.446 -4.432
-0.349 -2.494 4.647
-5.670 2.179 0.743
Se K
4 2
direct
0.667 0.333 0.250 Se
0.000 0.000 0.000 Se
0.333 0.667 0.750 Se
0.000 0.000 0.500 Se
0.667 0.333 0.750 K
0.333 0.667 0.250 K
```

=====

[2]
## KSe2 (meta-GGA SCAN)

Data for a crystal of KSe2 relaxed with PBEsol.

## Properties
Raw total energy ... -16.873 eV/atom
Density of states at the Fermi level ... 0.58 states/eV per atom
Excess energy over the best structure of this formula in the dataset ... 56 meV/atom
ΔE_f (raw) ... -2.134 eV per formula unit
Crystal system ... orthorhombic
Density ... 3.241 g/cm³

```
KSe2
1.0
-2.962 -0.817 -3.320
-3.830 -2.597 4.057
-3.109 6.443 1.189
Se K
4 2
direct
0.252 0.500 0.071 Se
0.752 0.000 0.429 Se
0.748 0.500 0.929 Se
0.248 0.000 0.571 Se
0.000 0.000 0.000 K
0.500 0.500 0.500 K
```

=====

[3]
## KSe2 (meta-GGA SCAN)

Data for a crystal of KSe2 relaxed with PBEsol.

## Properties
Raw total energy ... -16.899 eV/atom
Density of states at the Fermi level ... 0.63 states/eV per atom
Excess energy over the best structure of this formula in the dataset ... 31 meV/atom
ΔE_f (raw) ... -2.210 eV per formula unit
Crystal system ... orthorhombic
Density ... 3.597 g/cm³

```
KSe2
1.0
4.680 0.000 0.000
-2.340 5.947 0.000
0.000 0.000 6.537
Se K
4 2
direct
0.148 0.296 0.750 Se
0.425 0.850 0.250 Se
0.852 0.704 0.250 Se
0.575 0.150 0.750 Se
0.137 0.273 0.250 K
0.863 0.727 0.750 K
```

=====

[4]
## KSe2 (meta-GGA SCAN)

Data for a crystal of KSe2 relaxed with PBEsol.

## Properties
Raw total energy ... -16.929 eV/atom
Excess energy over the best structure of this formula in the dataset ... 0 meV/atom
ΔE_f (raw) ... -2.303 eV per formula unit
Crystal system ... monoclinic
Density ... 3.501 g/cm³

```
KSe2
1.0
-2.699 -0.385 -4.207
5.168 -3.140 -0.041
-4.498 -4.269 3.276
K Se
2 4
direct
0.909 0.818 0.192 K
0.091 0.182 0.808 K
0.283 0.565 0.499 Se
0.717 0.435 0.501 Se
0.392 0.783 0.847 Se
0.608 0.217 0.153 Se
```

=====

[5]
## KSe2 (meta-GGA SCAN)

Data for a crystal of KSe2 relaxed with PBEsol.

## Properties
Raw total energy ... -16.909 eV/atom
Density of states at the Fermi level ... 0.38 states/eV per atom
Excess energy over the best structure of this formula in the dataset ... 21 meV/atom
ΔE_f (raw) ... -2.241 eV per formula unit
Crystal system ... tetragonal
Density ... 3.609 g/cm³

```
KSe2
1.0
-4.415 0.099 -0.806
0.531 -3.021 -3.278
0.711 -5.190 7.971
Se K
4 2
direct
0.654 0.154 0.309 Se
0.596 0.596 0.191 Se
0.846 0.346 0.691 Se
0.404 0.404 0.809 Se
0.250 0.750 0.500 K
0.000 0.000 0.000 K
```

=====

[6]
## K2Se5 (meta-GGA SCAN)

Data for a crystal of K2Se5 relaxed with PBEsol.

## Properties
Raw total energy ... -17.409 eV/atom
ΔE_f (raw) ... -4.811 eV per formula unit
Crystal system ... orthorhombic
Density ... 4.019 g/cm³

```
K2Se5
1.0
-3.884 2.955 -4.240
-2.306 -6.190 -2.202
-12.634 0.473 11.903
K Se
8 20
direct
0.589 0.741 0.660 K
0.120 0.585 0.993 K
0.411 0.241 0.840 K
0.620 0.915 0.007 K
0.089 0.759 0.340 K
0.880 0.085 0.507 K
0.380 0.415 0.493 K
0.911 0.259 0.160 K
0.598 0.241 0.668 Se
0.482 0.637 0.207 Se
0.902 0.759 0.168 Se
0.426 0.363 0.125 Se
0.018 0.363 0.707 Se
0.888 0.571 0.511 Se
0.098 0.259 0.332 Se
0.254 0.875 0.151 Se
0.982 0.863 0.793 Se
0.246 0.125 0.651 Se
0.402 0.741 0.832 Se
0.754 0.625 0.849 Se
0.746 0.375 0.349 Se
0.074 0.637 0.625 Se
0.612 0.429 0.011 Se
0.926 0.137 0.875 Se
0.518 0.137 0.293 Se
0.112 0.071 0.989 Se
0.388 0.929 0.489 Se
0.574 0.863 0.375 Se
```

=====

Number 1: calculated volume 24.68 Å³ per atom. Number 2: calculated volume 33.64 Å³ per atom. Number 3: calculated volume 30.32 Å³ per atom. Number 4: calculated volume 31.15 Å³ per atom. Number 5: calculated volume 30.21 Å³ per atom. Number 6: calculated volume 27.92 Å³ per atom.